No. 1
BeFeNi3 after structural relaxation, computed with PBE.

Results
Calculated density, g/cm³: 6.939
Formation energy from the elements, eV/atom: 0.372
Calculated total energy, eV per cell: -27.7
Distance to the lowest polymorph of the same formula, meV per atom: 0

abc: 3.863 3.863 3.863
angles: 90.00 90.00 90.00
Space group Pm-3m (No. 221)
Unique sites:
Be  0.000  0.000  0.000
Fe  0.500  0.500  0.500
Ni  0.000  0.000  0.500

***

No. 2
Mn2WCl after structural relaxation, computed with PBE.

Results
Calculated density, g/cm³: 8.972
Calculated total energy, eV per cell: -60.9
Distance to the lowest polymorph of the same formula, meV per atom: 498

abc: 5.264 8.087 2.862
angles: 90.00 90.00 90.00
Space group Cmmm (No. 65)
Unique sites:
Mn  0.250  0.250  0.000
W  0.000  0.000  0.500
Cl  0.000  0.500  0.500

***

No. 3
GaIr2Pb after structural relaxation, computed with PBE.

Results
Calculated density, g/cm³: 16.083
Formation energy from the elements, eV/atom: 0.268
Calculated total energy, eV per cell: -93.5
Distance to the lowest polymorph of the same formula, meV per atom: 0

abc: 6.488 6.488 6.488
angles: 90.00 90.00 90.00
Space group Fm-3m (No. 225)
Unique sites:
Ga  0.000  0.000  0.000
Ir  0.250  0.250  0.250
Pb  0.000  0.000  0.500

***

- Which value of distance to the lowest polymorph of the same formula does entry 3 give?
  0 meV per atom

***

- Which of these has the highest calculated total energy?
  BeFeNi3